(1)
First-principles (PBE-GGA) data for a relaxed structure of RbGaO2, as listed in the Alexandria database.

abc: 8.1524 5.2409 6.6214
angles: 98.90 128.00 90.00
Last column: nearest neighbours and their distance in Å.
Atoms (fractional coordinates):
O 0.4875 0.5455 0.1976  2 Ga 1.87-1.90
Rb 0.5000 0.0000 0.5000  2 O 2.82
O 0.2899 0.9545 0.8024  2 Ga 1.87-1.90
Ga 0.5101 0.7500 0.0000  4 O 1.87-1.90
O 0.7101 0.0455 0.1976  2 Ga 1.87-1.90
Rb 0.0000 0.5000 0.5000  2 O 2.82
O 0.5125 0.4545 0.8024  2 Ga 1.87-1.90
Ga 0.4899 0.2500 0.0000  4 O 1.87-1.90

Values from the calculation:
Its space group is No. 15. The total energy comes out at -5.1348 eV per atom.



(2)
First-principles (PBE-GGA) data for a relaxed structure of CdSb2IBr, as listed in the Alexandria database.

abc: 5.6430 5.6430 5.7436
angles: 90.00 90.00 90.00
Last column: nearest neighbours and their distance in Å.
Atoms (fractional coordinates):
I 0.0000 0.0000 0.5000  2 Cd 2.87
Br 0.5000 0.5000 0.5000  4 I 3.99, 8 Sb 4.03
Sb 0.5000 0.0000 0.0000  2 Cd 2.82
Cd 0.0000 0.0000 0.0000  4 Sb 2.82, 2 I 2.87
Sb 0.0000 0.5000 0.0000  2 Cd 2.82

Values from the calculation:
Its space group is No. 123. The energy relative to the lowest polymorph listed for this composition comes out at 0 meV per atom.



(3)
First-principles (PBE-GGA) data for a relaxed structure of Cr2Pt, as listed in the Alexandria database.

abc: 3.8603 3.8603 11.4785
angles: 99.68 99.68 90.00
Last column: nearest neighbours and their distance in Å.
Atoms (fractional coordinates):
Cr 0.5751 0.5750 0.1502  4 Cr 2.55-2.56, 6 Pt 2.73-2.84
Cr 0.2498 0.2498 0.4995  8 Cr 2.55-2.73, 4 Pt 2.65-2.66
Pt 0.9184 0.9183 0.8368  10 Cr 2.65-2.84, 2 Pt 2.73
Cr 0.8250 0.3251 0.6502  4 Cr 2.55-2.56, 6 Pt 2.73-2.84
Cr 0.6749 0.1750 0.3498  4 Cr 2.55-2.56, 6 Pt 2.73-2.84
Pt 0.0817 0.0817 0.1632  10 Cr 2.65-2.84, 2 Pt 2.73
Pt 0.3317 0.8317 0.6632  10 Cr 2.65-2.84, 2 Pt 2.73
Pt 0.1683 0.6684 0.3368  10 Cr 2.65-2.84, 2 Pt 2.73
Cr 0.4998 0.9997 0.9995  8 Cr 2.55-2.73, 4 Pt 2.65-2.66
Cr 0.4250 0.4249 0.8498  4 Cr 2.55-2.56, 6 Pt 2.73-2.84
Cr 0.0003 0.5002 0.0005  8 Cr 2.55-2.73, 4 Pt 2.65-2.66
Cr 0.7503 0.7503 0.5005  8 Cr 2.55-2.73, 4 Pt 2.65-2.66

Values from the calculation:
The energy of formation is -10 kJ per mole of atoms. Its space group is No. 141.



(4)
First-principles (PBE-GGA) data for a relaxed structure of Na2YIO6, as listed in the Alexandria database.

abc: 5.6467 5.7447 8.0519
angles: 90.00 90.11 90.00
Last column: nearest neighbours and their distance in Å.
Atoms (fractional coordinates):
I 0.5000 0.0000 0.5000  6 O 1.90
O 0.7292 0.3130 0.9575  1 I 1.90
O 0.8193 0.7707 0.9507  1 I 1.90
Y 0.0000 0.5000 0.5000  6 O 2.24-2.27
Na 0.0077 0.9655 0.2512  4 O 2.40-2.58
Y 0.5000 0.0000 0.0000  6 O 2.24-2.27
O 0.5880 0.0282 0.2731  1 I 1.90
Na 0.5077 0.5345 0.7512  4 O 2.40-2.58
O 0.7708 0.8130 0.5425  1 I 1.90
O 0.9120 0.5282 0.2269  1 I 1.90
Na 0.9923 0.0345 0.7488  4 O 2.40-2.58
O 0.3193 0.7293 0.4507  1 I 1.90
O 0.2708 0.6870 0.0425  1 I 1.90
O 0.4120 0.9718 0.7269  1 I 1.90
O 0.2292 0.1870 0.4575  1 I 1.90
I 0.0000 0.5000 0.0000  6 O 1.90
O 0.0880 0.4718 0.7731  1 I 1.90
O 0.6807 0.2707 0.5493  1 I 1.90
O 0.1807 0.2293 0.0493  1 I 1.90
Na 0.4923 0.4655 0.2488  4 O 2.40-2.58

Values from the calculation:
Its space group is No. 14. The total energy comes out at -5.6979 eV per atom.



(5)
First-principles (PBE-GGA) data for a relaxed structure of Sc2Fe5B2W, as listed in the Alexandria database.

abc: 2.9191 8.9095 8.9095
angles: 90.00 90.00 90.00
Last column: nearest neighbours and their distance in Å.
Atoms (fractional coordinates):
Sc 0.0000 0.1755 0.3245  3 B 2.60-2.67, 10 Fe 2.65-2.78
B 0.0000 0.1185 0.6185  6 Fe 2.09-2.10
Fe 0.5000 0.7800 0.9317  2 B 2.10
Fe 0.5000 0.5000 0.0000  4 B 2.09
Fe 0.5000 0.0683 0.7800  2 B 2.10
B 0.0000 0.8815 0.3815  6 Fe 2.09-2.10
Fe 0.5000 0.4317 0.2800  2 B 2.10
Fe 0.5000 0.5683 0.7200  2 B 2.10
Sc 0.0000 0.6755 0.1755  3 B 2.60-2.67, 10 Fe 2.65-2.78
Fe 0.5000 0.2200 0.0683  2 B 2.10
Sc 0.0000 0.8245 0.6755  3 B 2.60-2.67, 10 Fe 2.65-2.78
W 0.0000 0.0000 0.0000  8 Fe 2.52
Fe 0.5000 0.0000 0.5000  4 B 2.09
B 0.0000 0.6185 0.8815  6 Fe 2.09-2.10
Fe 0.5000 0.7200 0.4317  2 B 2.10
W 0.0000 0.5000 0.5000  8 Fe 2.52
Fe 0.5000 0.2800 0.5683  2 B 2.10
Fe 0.5000 0.9317 0.2200  2 B 2.10
Sc 0.0000 0.3245 0.8245  3 B 2.60-2.67, 10 Fe 2.65-2.78
B 0.0000 0.3815 0.1185  6 Fe 2.09-2.10

Values from the calculation:
The energy of formation is -32 kJ per mole of atoms. Its space group is No. 127.



(6)
First-principles (PBE-GGA) data for a relaxed structure of Ho2PbSe, as listed in the Alexandria database.

abc: 4.4790 4.4790 7.4831
angles: 90.00 90.00 120.00
Last column: nearest neighbours and their distance in Å.
Atoms (fractional coordinates):
Ho 0.3333 0.6667 0.7601  3 Se 2.93, 3 Pb 3.17
Se 0.6667 0.3333 0.5757  4 Ho 2.78-2.93
Ho 0.6667 0.3333 0.2047  1 Se 2.78, 3 Pb 2.99
Pb 0.0000 0.0000 0.0044  6 Ho 2.99-3.17

Values from the calculation:
Its space group is No. 156. The energy relative to the lowest polymorph listed for this composition comes out at 169 meV per atom.



(7)
First-principles (PBE-GGA) data for a relaxed structure of NbCu2Mo2, as listed in the Alexandria database.

abc: 6.7033 6.7033 3.3298
angles: 90.00 90.00 90.00
Last column: nearest neighbours and their distance in Å.
Atoms (fractional coordinates):
Cu 0.3768 0.8768 0.0000  1 Cu 2.33, 2 Mo 2.54
Mo 0.8250 0.3250 0.5000  6 Cu 2.54-2.62
Cu 0.6232 0.1232 0.0000  1 Cu 2.33, 2 Mo 2.54
Nb 0.5000 0.5000 0.0000  4 Cu 2.66
Cu 0.8768 0.6232 0.0000  1 Cu 2.33, 2 Mo 2.54
Nb 0.0000 0.0000 0.0000  4 Cu 2.66
Mo 0.6750 0.8250 0.5000  6 Cu 2.54-2.62
Mo 0.1750 0.6750 0.5000  6 Cu 2.54-2.62
Cu 0.1232 0.3768 0.0000  1 Cu 2.33, 2 Mo 2.54
Mo 0.3250 0.1750 0.5000  6 Cu 2.54-2.62

Values from the calculation:
The energy of formation is 33 kJ per mole of atoms. Its space group is No. 127.



(8)
First-principles (PBE-GGA) data for a relaxed structure of GeBi3F, as listed in the Alexandria database.

abc: 5.0912 5.0912 5.0912
angles: 90.00 90.00 90.00
Last column: nearest neighbours and their distance in Å.
Atoms (fractional coordinates):
Bi 0.0000 0.5000 0.0000  2 F 2.55
Bi 0.5000 0.0000 0.0000  2 F 2.55
Bi 0.0000 0.0000 0.5000  2 F 2.55
F 0.0000 0.0000 0.0000  6 Bi 2.55
Ge 0.5000 0.5000 0.5000  12 Bi 3.60

Values from the calculation:
Its space group is No. 221. The energy relative to the lowest polymorph listed for this composition comes out at 0 meV per atom.



Number 1: DOS(E_F) 0.000 states/eV/f.u.. Number 2: DOS(E_F) 4.606 states/eV/f.u.. Number 3: DOS(E_F) 2.893 states/eV/f.u.. Number 4: DOS(E_F) 0.000 states/eV/f.u.. Number 5: DOS(E_F) 10.392 states/eV/f.u.. Number 6: DOS(E_F) 0.222 states/eV/f.u.. Number 7: DOS(E_F) 6.083 states/eV/f.u.. Number 8: DOS(E_F) 2.840 states/eV/f.u..